Sr5Ir after structural relaxation. Source: Alexandria, functional PBE.

Calculated values
Its density of states at the Fermi level is 14.50 states/eV/cell. For the energy of formation from the pure elements, the calculation gives 0.81 eV per formula unit. The value obtained for the total magnetic moment is 0.0 μB per formula unit.

a = 6.1120 Å, b = 4.3183 Å, c = 19.5870 Å
α = 90.00°, β = 90.00°, γ = 90.00°
Last column: nearest neighbours and their distance in Å.
Space group Amm2 (No. 38)
Inequivalent atoms, fractional coordinates:
1 Sr 0.0000 0.0000 0.0000  2 Ir 2.96
2 Sr 0.0000 0.0000 0.2147  2 Ir 3.07
3 Sr 0.5000 0.0000 0.1256  6 Sr 3.52-3.92, 4 Ir 3.77
4 Sr 0.5000 0.0000 0.4765  8 Sr 3.63-3.95, 2 Ir 3.94
5 Sr 0.5000 0.0000 0.8075  10 Sr 3.95-4.32
6 Ir 0.0000 0.0000 0.6033  4 Sr 2.96-3.07